First-principles (PBE-GGA) data for an optimized crystal structure of Li2Hg4Bi, as listed in Alexandria.

Output
DOS at the Fermi energy = 0.19 states/eV per atom
ρ = 9.5 g/cm³
electronic total energy = -40.15 eV per cell
SG = I4_1/amd (141)
E_form = -160 meV per atom

a = 10.590 Å, b = 10.590 Å, c = 10.590 Å
α = 127.94°, β = 127.94°, γ = 76.72°
Fractional coordinates of all 28 atoms:
Li (0.257, 0.713, 0.544)
Li (0.287, 0.331, 0.544)
Li (0.287, 0.743, 0.956)
Li (0.331, 0.287, 0.044)
Li (0.669, 0.713, 0.956)
Li (0.713, 0.257, 0.044)
Li (0.713, 0.669, 0.456)
Li (0.743, 0.287, 0.456)
Hg (0.000, 0.000, 0.000)
Hg (0.000, 0.000, 0.500)
Hg (0.000, 0.500, 0.000)
Hg (0.100, 0.350, 0.201)
Hg (0.100, 0.900, 0.750)
Hg (0.117, 0.367, 0.750)
Hg (0.350, 0.100, 0.701)
Hg (0.350, 0.650, 0.250)
Hg (0.367, 0.117, 0.250)
Hg (0.500, 0.000, 0.500)
Hg (0.633, 0.883, 0.750)
Hg (0.650, 0.350, 0.750)
Hg (0.650, 0.900, 0.299)
Hg (0.883, 0.633, 0.250)
Hg (0.900, 0.100, 0.250)
Hg (0.900, 0.650, 0.799)
Bi (0.000, 0.500, 0.500)
Bi (0.500, 0.000, 0.000)
Bi (0.500, 0.500, 0.000)
Bi (0.500, 0.500, 0.500)